[1]
## KGa3Pt2 (PBE-GGA)

Data for KGa3Pt2 after structural relaxation.

Cell lengths 5.5575, 6.8013, 6.8013 Å; angles 107.34, 90.00, 90.00 degrees
Fractional positions:
K1 0.7500 0.6471 0.6471
K2 0.2500 0.3529 0.3529
Ga1 0.2500 0.5243 0.9132
Ga2 0.7500 0.0824 0.0824
Ga3 0.7500 0.4757 0.0868
Ga4 0.2500 0.9132 0.5243
Ga5 0.2500 0.9176 0.9176
Ga6 0.7500 0.0868 0.4757
Pt1 0.0000 0.1949 0.8051
Pt2 0.5000 0.8051 0.1949
Pt3 0.5000 0.1949 0.8051
Pt4 0.0000 0.8051 0.1949

Summary:
Total moment = 0.0 μB per formula unit
Formation enthalpy at 0 K = -0.52 eV/atom

[2]
## VTcPt2 (PBE-GGA)

Data for VTcPt2 after structural relaxation.

Cell lengths 3.7426, 3.7426, 9.5051 Å; angles 78.65, 78.65, 90.00 degrees
Each line ends with the local moment (μB).
Fractional positions:
Pt1 0.1268 0.6250 0.2500  0.00
Pt2 0.6232 0.1250 0.2500  0.00
Pt3 0.8750 0.8732 0.7500  0.00
Pt4 0.3750 0.3768 0.7500  0.00
V1 0.2500 0.7500 0.5000  0.48
V2 0.5000 0.5000 0.0000  0.48
Tc1 0.0000 0.0000 0.0000  -0.16
Tc2 0.7500 0.2500 0.5000  -0.16

Summary:
Energy above the most stable polymorph in this dataset = 0.23 eV per formula unit
Total moment = 0.4 μB per formula unit
Formation enthalpy at 0 K = 0.13 eV/atom

[3]
## CdFeOsCl2 (PBE-GGA)

Data for CdFeOsCl2 after structural relaxation.

Cell lengths 4.8576, 5.6046, 4.8576 Å; angles 90.00, 90.00, 90.00 degrees
Each line ends with the local moment (μB).
Fractional positions:
Cl1 0.5000 0.0000 0.0000  0.02
Cl2 0.0000 0.0000 0.5000  0.01
Fe1 0.5000 0.5000 0.5000  3.50
Cd1 0.0000 0.0000 0.0000  0.01
Os1 0.0000 0.5000 0.0000  -0.57

Summary:
Total moment = 3.1 μB per formula unit
Raw total energy = -16.264 eV for the cell shown

[4]
## NaAg6Ge (PBE-GGA)

Data for NaAg6Ge after structural relaxation.

Cell lengths 5.7632, 5.7632, 7.4455 Å; angles 67.23, 67.23, 60.00 degrees
Fractional positions:
Na1 0.5000 0.5000 0.5000
Ag1 0.0746 0.0746 0.2899
Ag2 0.5609 0.0746 0.2899
Ag3 0.9254 0.9254 0.7101
Ag4 0.4391 0.9254 0.7101
Ag5 0.9254 0.4391 0.7101
Ag6 0.0746 0.5609 0.2899
Ge1 0.0000 0.0000 0.0000

Summary:
Total moment = 0.0 μB per formula unit
Formation enthalpy at 0 K = 0.26 eV/atom